(a)
# Sm4HoTm7

A geometry-optimized Sm4HoTm7 structure (PBE, Alexandria).

The structure in POSCAR format:
```
Sm4HoTm7
1.0
6.4997 0.0000 0.0000
1.0228 6.6923 0.0000
2.0240 0.5274 8.7297
Sm Ho Tm
4 1 7
Cartesian
1.7988 2.2062 2.5019
4.4815 6.2809 6.0433
5.0650 0.9389 2.6865
7.7477 5.0135 6.2278
3.7613 3.3462 0.0000
2.2647 2.1904 8.3028
2.7223 5.5225 3.1073
3.6811 2.9641 5.3837
3.2498 0.0000 0.0000
5.8654 4.2557 3.3460
6.8242 1.6973 5.6225
7.2819 5.0293 0.4269
```

Output
DOS(E_F) = 19.3 states/eV/cell


(b)
# Sm4HoTm7

A geometry-optimized Sm4HoTm7 structure (PBE, Alexandria).

The structure in POSCAR format:
```
Sm4HoTm7
1.0
6.0184 -2.9150 0.0000
6.0184 2.9150 0.0000
-6.0171 0.0000 11.1717
Sm Ho Tm
4 1 7
Cartesian
0.0248 0.0000 3.0939
-1.6817 0.0000 9.3086
7.7013 0.0000 1.8632
5.9949 0.0000 8.0779
3.0098 0.0000 5.5859
-3.0085 0.0000 5.5859
-4.3933 0.0000 11.1096
0.0015 0.0000 6.4339
4.0542 0.0000 2.1114
1.9655 0.0000 9.0603
6.0182 0.0000 4.7378
10.4130 0.0000 0.0622
```

Output
DOS(E_F) = 20.5 states/eV/cell


Best to worst by energy: (a), (b).


(a)
# Sm7Ho2Tm

A geometry-optimized Sm7Ho2Tm structure (PBE, Alexandria).

The structure in POSCAR format:
```
Sm7Ho2Tm
1.0
6.2185 0.0000 0.0000
-1.0254 6.1369 0.0000
-3.1015 -2.6072 8.5915
Sm Ho Tm
7 2 1
Cartesian
0.0000 0.0000 0.0000
-1.0343 5.0906 3.4342
-2.0547 0.7318 7.7294
1.0510 2.2901 2.5895
1.0406 1.2396 6.0020
4.1463 2.7978 0.8620
3.1259 -1.5609 5.1572
-1.0153 4.0440 6.8690
3.1069 -0.5144 1.7225
-2.0634 1.7648 4.2957
```

Output
DOS(E_F) = 14.3 states/eV/cell


(b)
# Sm7Ho2Tm

A geometry-optimized Sm7Ho2Tm structure (PBE, Alexandria).

The structure in POSCAR format:
```
Sm7Ho2Tm
1.0
4.3764 -8.3790 0.0000
4.3764 8.3790 0.0000
0.0000 0.0000 5.4893
Sm Ho Tm
7 2 1
Cartesian
0.0000 0.0000 0.0000
2.8150 1.8598 0.0000
4.3764 3.4776 2.7446
2.8150 -1.8598 0.0000
5.9377 1.8598 0.0000
4.3764 -3.4776 2.7446
5.9377 -1.8598 0.0000
4.3764 4.9467 0.0000
4.3764 -4.9467 0.0000
4.3764 0.0000 2.7446
```

Output
DOS(E_F) = 14.1 states/eV/cell


Best to worst by energy: (a), (b).